{"formula": "Tb2ClO2", "functional": "PBE", "state": "relaxed", "lattice": [[5.611, -2.292, 0.000], [5.611, 2.292, 0.000], [-2.385, 0.000, 7.492]], "species": ["Tb", "Tb", "Tb", "Tb", "Cl", "Cl", "O", "O", "O", "O"], "fractional_positions": [[0.010, 0.010, 0.233], [0.333, 0.333, 0.932], [0.667, 0.667, 0.068], [0.990, 0.990, 0.767], [0.166, 0.166, 0.585], [0.834, 0.834, 0.415], [0.146, 0.146, 0.048], [0.499, 0.499, 0.185], [0.501, 0.501, 0.815], [0.854, 0.854, 0.952]], "e_form_raw_ev_per_atom": -2.830, "dft_energy_ev_per_atom": -7.035, "magmom_total_mub_per_cell": 0.000}